A geometry-optimized TbUFe structure. Source: Alexandria via LeMat-Bulk, functional PBE-GGA.

## Properties
Energy relative to the lowest polymorph listed for this composition: 0.000 eV per atom
Energy: -48.312 eV for the cell shown
ρ: 12.27 g/cm³

Cell: 3.334 3.334 11.025 Å, 90.00 90.00 90.00°
Sites, in units of the cell vectors:
Tb  0.000  0.000  0.000
Tb  0.500  0.500  0.500
U  0.000  0.000  0.708
U  0.500  0.500  0.208
Fe  0.000  0.000  0.288
Fe  0.500  0.500  0.788